{
  "formula": "Li2VCd2",
  "functional": "GGA-PBE",
  "state": "optimized geometry",
  "lattice_angstrom": [[7.613, 0.000, 0.000], [0.000, 7.613, 0.000], [0.000, 0.000, 2.974]],
  "species": ["Li", "Li", "Li", "Li", "V", "V", "Cd", "Cd", "Cd", "Cd"],
  "fractional_positions": [[0.125, 0.375, 0.000], [0.375, 0.875, 0.000], [0.625, 0.125, 0.000], [0.875, 0.625, 0.000], [0.000, 0.000, 0.000], [0.500, 0.500, 0.000], [0.174, 0.674, 0.500], [0.326, 0.174, 0.500], [0.674, 0.826, 0.500], [0.826, 0.326, 0.500]],
  "e_form_mev_per_atom": 149,
  "relative_energy_mev_per_atom": 0,
  "spacegroup": "P4/mbm"
}


{
  "formula": "SrRu2Cl",
  "functional": "GGA-PBE",
  "state": "optimized geometry",
  "lattice_angstrom": [[11.820, 0.000, 0.000], [0.000, 3.828, 0.000], [-0.917, 0.000, 4.006]],
  "species": ["Sr", "Sr", "Ru", "Ru", "Ru", "Ru", "Cl", "Cl"],
  "fractional_positions": [[0.000, 0.000, 0.000], [0.500, 0.500, 0.000], [0.223, 0.500, 0.833], [0.277, 0.000, 0.167], [0.723, 0.000, 0.833], [0.777, 0.500, 0.167], [0.000, 0.500, 0.500], [0.500, 0.000, 0.500]],
  "relative_energy_mev_per_atom": 229,
  "spacegroup": "C2/m",
  "formation_energy_uncorrected_mev_per_atom": 121
}


{
  "formula": "RbYPb",
  "functional": "GGA-PBE",
  "state": "optimized geometry",
  "lattice_angstrom": [[9.114, 0.000, 0.000], [0.000, 5.261, 0.000], [-2.937, 0.000, 11.973]],
  "species": ["Rb", "Rb", "Rb", "Rb", "Y", "Y", "Y", "Y", "Pb", "Pb", "Pb", "Pb"],
  "fractional_positions": [[0.228, 0.000, 0.174], [0.272, 0.500, 0.826], [0.728, 0.500, 0.174], [0.772, 0.000, 0.826], [0.145, 0.500, 0.433], [0.355, 0.000, 0.567], [0.645, 0.000, 0.433], [0.855, 0.500, 0.567], [0.043, 0.000, 0.634], [0.457, 0.500, 0.366], [0.543, 0.500, 0.634], [0.957, 0.000, 0.366]],
  "e_form_mev_per_atom": -150,
  "relative_energy_mev_per_atom": 136,
  "spacegroup": "C2/m"
}


{
  "formula": "Ac3SmPt3",
  "functional": "GGA-PBE",
  "state": "optimized geometry",
  "lattice_angstrom": [[12.892, 0.000, 0.000], [0.000, 4.342, 0.000], [0.000, 0.000, 15.397]],
  "species": ["Ac", "Ac", "Ac", "Ac", "Ac", "Ac", "Ac", "Ac", "Ac", "Ac", "Ac", "Ac", "Sm", "Sm", "Sm", "Sm", "Pt", "Pt", "Pt", "Pt", "Pt", "Pt", "Pt", "Pt", "Pt", "Pt", "Pt", "Pt"],
  "fractional_positions": [[0.066, 0.250, 0.096], [0.153, 0.750, 0.516], [0.237, 0.750, 0.800], [0.263, 0.250, 0.300], [0.347, 0.250, 0.016], [0.434, 0.750, 0.596], [0.566, 0.250, 0.404], [0.653, 0.750, 0.984], [0.737, 0.750, 0.700], [0.763, 0.250, 0.200], [0.847, 0.250, 0.484], [0.934, 0.750, 0.904], [0.024, 0.250, 0.703], [0.476, 0.750, 0.203], [0.524, 0.250, 0.797], [0.976, 0.750, 0.297], [0.060, 0.250, 0.394], [0.102, 0.250, 0.893], [0.246, 0.250, 0.650], [0.254, 0.750, 0.150], [0.398, 0.750, 0.393], [0.440, 0.750, 0.894], [0.560, 0.250, 0.106], [0.602, 0.250, 0.607], [0.746, 0.250, 0.850], [0.754, 0.750, 0.350], [0.898, 0.750, 0.107], [0.940, 0.750, 0.606]],
  "e_form_mev_per_atom": -1022,
  "spacegroup": "Pnma"
}


{
  "formula": "Li2HgH",
  "functional": "GGA-PBE",
  "state": "optimized geometry",
  "lattice_angstrom": [[3.066, 0.000, 0.000], [-1.533, 2.655, 0.000], [0.000, 0.000, 21.207]],
  "species": ["Li", "Li", "Li", "Li", "Li", "Li", "Hg", "Hg", "Hg", "H", "H", "H"],
  "fractional_positions": [[0.000, 0.000, 0.221], [0.000, 0.000, 0.779], [0.333, 0.667, 0.446], [0.333, 0.667, 0.888], [0.667, 0.333, 0.112], [0.667, 0.333, 0.554], [0.000, 0.000, 0.000], [0.333, 0.667, 0.667], [0.667, 0.333, 0.333], [0.000, 0.000, 0.500], [0.333, 0.667, 0.167], [0.667, 0.333, 0.833]],
  "relative_energy_mev_per_atom": 0,
  "spacegroup": "R-3m"
}


{
  "formula": "RbTbCd2Cl8",
  "functional": "GGA-PBE",
  "state": "optimized geometry",
  "lattice_angstrom": [[6.619, 0.000, 0.000], [1.268, 6.501, 0.000], [1.749, 1.530, 8.949]],
  "species": ["Rb", "Tb", "Cd", "Cd", "Cl", "Cl", "Cl", "Cl", "Cl", "Cl", "Cl", "Cl"],
  "fractional_positions": [[0.000, 0.000, 0.000], [0.000, 0.000, 0.500], [0.452, 0.446, 0.220], [0.548, 0.554, 0.780], [0.181, 0.742, 0.719], [0.241, 0.803, 0.287], [0.277, 0.254, 0.468], [0.340, 0.319, 0.009], [0.660, 0.681, 0.991], [0.723, 0.746, 0.532], [0.759, 0.197, 0.713], [0.819, 0.258, 0.281]],
  "spacegroup": "P-1",
  "formation_energy_uncorrected_mev_per_atom": -1604
}


{
  "formula": "NaAu3F",
  "functional": "GGA-PBE",
  "state": "optimized geometry",
  "lattice_angstrom": [[5.005, 0.000, 0.000], [0.000, 5.005, 0.000], [0.000, 0.000, 5.005]],
  "species": ["Na", "Au", "Au", "Au", "F"],
  "fractional_positions": [[0.000, 0.000, 0.000], [0.000, 0.000, 0.500], [0.000, 0.500, 0.000], [0.500, 0.000, 0.000], [0.500, 0.500, 0.500]],
  "relative_energy_mev_per_atom": 638,
  "spacegroup": "Pm-3m",
  "formation_energy_uncorrected_mev_per_atom": 745
}


{
  "formula": "AlTe2Pb",
  "functional": "GGA-PBE",
  "state": "optimized geometry",
  "lattice_angstrom": [[4.376, 0.000, 0.000], [0.000, 4.376, 0.000], [0.000, 0.000, 6.707]],
  "species": ["Al", "Te", "Te", "Pb"],
  "fractional_positions": [[0.000, 0.000, 0.000], [0.000, 0.000, 0.591], [0.500, 0.500, 0.044], [0.500, 0.500, 0.512]],
  "spacegroup": "P4mm",
  "formation_energy_uncorrected_mev_per_atom": -193
}


{
  "formula": "LiTb2Er",
  "functional": "GGA-PBE",
  "state": "optimized geometry",
  "lattice_angstrom": [[3.597, 0.000, 0.000], [0.000, 3.597, 0.000], [0.000, 0.000, 8.836]],
  "species": ["Li", "Tb", "Tb", "Er"],
  "fractional_positions": [[0.000, 0.000, 0.000], [0.500, 0.500, 0.227], [0.500, 0.500, 0.773], [0.000, 0.000, 0.500]],
  "e_form_mev_per_atom": 70,
  "relative_energy_mev_per_atom": 0,
  "spacegroup": "P4/mmm"
}


{
  "formula": "Ta4MnW",
  "functional": "GGA-PBE",
  "state": "optimized geometry",
  "lattice_angstrom": [[3.185, 0.000, 0.000], [0.000, 3.185, 0.000], [0.000, 0.000, 9.837]],
  "species": ["Ta", "Ta", "Ta", "Ta", "Mn", "W"],
  "fractional_positions": [[0.000, 0.000, 0.152], [0.000, 0.000, 0.848], [0.500, 0.500, 0.335], [0.500, 0.500, 0.665], [0.500, 0.500, 0.000], [0.000, 0.000, 0.500]],
  "e_form_mev_per_atom": -101,
  "relative_energy_mev_per_atom": 0,
  "spacegroup": "P4/mmm"
}


{
  "formula": "Cr2NiPt8",
  "functional": "GGA-PBE",
  "state": "optimized geometry",
  "lattice_angstrom": [[-2.020, 3.654, 5.672], [2.020, -3.654, 5.672], [2.020, 3.654, -5.672]],
  "species": ["Cr", "Cr", "Ni", "Pt", "Pt", "Pt", "Pt", "Pt", "Pt", "Pt", "Pt"],
  "fractional_positions": [[0.191, 0.191, 0.000], [0.809, 0.809, 0.000], [0.500, 0.500, 0.000], [0.068, 0.340, 0.728], [0.190, 0.000, 0.190], [0.353, 0.853, 0.500], [0.387, 0.660, 0.728], [0.613, 0.340, 0.272], [0.647, 0.147, 0.500], [0.810, 0.000, 0.810], [0.932, 0.660, 0.272]],
  "e_form_mev_per_atom": -114,
  "spacegroup": "Immm"
}


{
  "formula": "Nd4Bi6Rh7",
  "functional": "GGA-PBE",
  "state": "optimized geometry",
  "lattice_angstrom": [[-4.556, 4.556, 4.556], [4.556, -4.556, 4.556], [4.556, 4.556, -4.556]],
  "species": ["Nd", "Nd", "Nd", "Nd", "Bi", "Bi", "Bi", "Bi", "Bi", "Bi", "Rh", "Rh", "Rh", "Rh", "Rh", "Rh", "Rh"],
  "fractional_positions": [[0.000, 0.000, 0.500], [0.000, 0.500, 0.000], [0.500, 0.000, 0.000], [0.500, 0.500, 0.500], [0.000, 0.317, 0.317], [0.000, 0.683, 0.683], [0.317, 0.000, 0.317], [0.317, 0.317, 0.000], [0.683, 0.000, 0.683], [0.683, 0.683, 0.000], [0.000, 0.000, 0.000], [0.250, 0.500, 0.750], [0.250, 0.750, 0.500], [0.500, 0.250, 0.750], [0.500, 0.750, 0.250], [0.750, 0.250, 0.500], [0.750, 0.500, 0.250]],
  "e_form_mev_per_atom": -585,
  "spacegroup": "Im-3m"
}


| no. | magnetic moment (μB per cell) |
| --- | --- |
| 1 | 5.90 |
| 2 | 0.00 |
| 3 | 0.00 |
| 4 | 0.00 |
| 5 | 0.00 |
| 6 | 0.00 |
| 7 | 0.00 |
| 8 | 0.00 |
| 9 | 0.00 |
| 10 | 0.00 |
| 11 | 3.28 |
| 12 | 0.00 |